# PaSi2Sn (GGA-PBE, optimized geometry)
data_PaSi2Sn
_cell_length_a 4.458
_cell_length_b 4.458
_cell_length_c 4.013
_cell_angle_alpha 90.00
_cell_angle_beta 90.00
_cell_angle_gamma 90.00
_symmetry_space_group_name_H-M 'P 1'
_symmetry_Int_Tables_number 1
loop_
_symmetry_equiv_pos_as_xyz
'x,y,z'
loop_
_atom_site_label
_atom_site_fract_x
_atom_site_fract_y
_atom_site_fract_z
Pa1 0.000 0.000 0.000
Si1 0.000 0.500 0.500
Si2 0.500 0.000 0.500
Sn1 0.500 0.500 0.000
# Raw total energy in eV per atom: -6.393
# SG: P4/mmm (123)